(1)
The following is a DFT calculation (PBE) of a geometry-optimized VGaAs structure.

Unit cell a=11.737 b=2.807 c=6.544 alpha=90.00 beta=113.47 gamma=90.00
Fractional coordinates of all 12 atoms:
V1 0.134 0.000 0.489
V2 0.366 0.500 0.511
V3 0.634 0.500 0.489
V4 0.866 0.000 0.511
Ga1 0.073 0.500 0.762
Ga2 0.427 0.000 0.238
Ga3 0.573 0.000 0.762
Ga4 0.927 0.500 0.238
As1 0.164 0.500 0.186
As2 0.336 0.000 0.814
As3 0.664 0.000 0.186
As4 0.836 0.500 0.814

## Properties
The crystal system is monoclinic. Its density of states at the Fermi level is 0.798 states/eV/atom. The symmetry is No. 12. The energy relative to the elements comes out at -205.0 meV/atom. Its electronic total energy is -0.4265 Ry per atom. As for the energy above the most stable polymorph in this dataset: 0.020 eV per atom.

=====

(2)
The following is a DFT calculation (PBE) of a geometry-optimized VGaAs structure.

Unit cell a=3.249 b=3.249 c=8.539 alpha=90.00 beta=90.00 gamma=90.00
Fractional coordinates of all 6 atoms:
V1 0.000 0.000 0.000
V2 0.500 0.500 0.500
Ga1 0.000 0.000 0.324
Ga2 0.500 0.500 0.824
As1 0.000 0.000 0.640
As2 0.500 0.500 0.140

## Properties
The crystal system is tetragonal. Its density of states at the Fermi level is 0.543 states/eV/atom. The symmetry is No. 107. The energy relative to the elements comes out at -224.7 meV/atom. Its electronic total energy is -0.4280 Ry per atom. As for the energy above the most stable polymorph in this dataset: 0.000 eV per atom.

=====

(3)
The following is a DFT calculation (PBE) of a geometry-optimized VGaAs structure.

Unit cell a=4.426 b=4.426 c=2.811 alpha=90.00 beta=90.00 gamma=120.00
Fractional coordinates of all 3 atoms:
V1 0.000 0.000 0.000
Ga1 0.333 0.667 0.500
As1 0.667 0.333 0.002

## Properties
The crystal system is trigonal. Its density of states at the Fermi level is 0.850 states/eV/atom. The symmetry is No. 156. The energy relative to the elements comes out at 112.1 meV/atom. Its electronic total energy is -0.4032 Ry per atom. As for the energy above the most stable polymorph in this dataset: 0.337 eV per atom.

=====

(4)
The following is a DFT calculation (PBE) of a geometry-optimized V12Ga3As structure.

Unit cell a=4.770 b=4.783 c=9.523 alpha=90.00 beta=90.00 gamma=90.00
Fractional coordinates of all 16 atoms:
V1 0.000 0.000 0.122
V2 0.000 0.000 0.375
V3 0.000 0.000 0.625
V4 0.000 0.000 0.878
V5 0.250 0.500 0.252
V6 0.250 0.500 0.748
V7 0.500 0.252 0.000
V8 0.500 0.253 0.500
V9 0.500 0.747 0.500
V10 0.500 0.748 0.000
V11 0.750 0.500 0.252
V12 0.750 0.500 0.748
Ga1 0.000 0.500 0.000
Ga2 0.500 0.000 0.251
Ga3 0.500 0.000 0.749
As1 0.000 0.500 0.500

## Properties
The crystal system is orthorhombic. Its density of states at the Fermi level is 1.989 states/eV/atom. The symmetry is No. 47. The energy relative to the elements comes out at -240.1 meV/atom. Its electronic total energy is -0.5834 Ry per atom.

=====

(5)
The following is a DFT calculation (PBE) of a geometry-optimized VGa3As structure.

Unit cell a=4.922 b=4.922 c=4.922 alpha=90.00 beta=90.00 gamma=90.00
Fractional coordinates of all 5 atoms:
V1 0.000 0.000 0.000
Ga1 0.000 0.500 0.500
Ga2 0.500 0.000 0.500
Ga3 0.500 0.500 0.000
As1 0.500 0.500 0.500

## Properties
The crystal system is cubic. Its density of states at the Fermi level is 1.168 states/eV/atom. The symmetry is No. 221. The energy relative to the elements comes out at 871.0 meV/atom. Its electronic total energy is -0.2719 Ry per atom. As for the energy above the most stable polymorph in this dataset: 0.214 eV per atom.

=====

(6)
The following is a DFT calculation (PBE) of a geometry-optimized V12Ga6As structure.

Unit cell a=6.471 b=6.471 c=6.471 alpha=91.15 beta=91.15 gamma=91.15
Fractional coordinates of all 19 atoms:
V1 0.024 0.302 0.930
V2 0.070 0.976 0.698
V3 0.123 0.354 0.441
V4 0.302 0.930 0.024
V5 0.354 0.441 0.123
V6 0.441 0.123 0.354
V7 0.559 0.877 0.646
V8 0.646 0.559 0.877
V9 0.698 0.070 0.976
V10 0.877 0.646 0.559
V11 0.930 0.024 0.302
V12 0.976 0.698 0.070
Ga1 0.220 0.770 0.379
Ga2 0.230 0.621 0.780
Ga3 0.379 0.220 0.770
Ga4 0.621 0.780 0.230
Ga5 0.770 0.379 0.220
Ga6 0.780 0.230 0.621
As1 0.500 0.500 0.500

## Properties
The crystal system is trigonal. Its density of states at the Fermi level is 1.110 states/eV/atom. The symmetry is No. 148. The energy relative to the elements comes out at -37.8 meV/atom. Its electronic total energy is -0.5143 Ry per atom.